Be2PSe | PBE-GGA | relaxed

Results
space-group type = R3m
ΔE_f (raw) = -0.33 eV/atom
energy relative to the lowest polymorph listed for this composition = 11 meV per atom
V = 65 Å³/f.u.
D(E_F) = 3.595 states/eV/cell

Lattice parameters (Å, degrees): 3.530 3.530 18.084 90.00 90.00 120.00
Atoms (fractional coordinates):
Be 0.667 0.333 0.167
Be 0.000 0.000 0.834
P 0.333 0.667 0.881
Be 0.667 0.333 0.666
Se 0.333 0.667 0.378
Se 0.000 0.000 0.711
P 0.667 0.333 0.548
Be 0.333 0.667 0.999
Se 0.667 0.333 0.045
P 0.000 0.000 0.214
Be 0.000 0.000 0.332
Be 0.333 0.667 0.500